1.
Entry from Alexandria: a relaxed In6AgS8 crystal (PBE).

Output
**DOS(E_F)**: 0.6556 states/eV per atom
**V**: 434.55 Å³ per cell
**DFT total energy**: -3.77 eV/atom
**Mass density**: 4.0 g/cm3

a b c (Å): 7.673 7.673 7.673
angles (deg): 98.65 98.65 98.65
Element x y z (fractional)
1 In 0.158 0.540 0.357
2 In 0.357 0.158 0.540
3 In 0.460 0.643 0.842
4 In 0.540 0.357 0.158
5 In 0.643 0.842 0.460
6 In 0.842 0.460 0.643
7 Ag 0.000 0.000 0.000
8 S 0.163 0.399 0.670
9 S 0.214 0.214 0.214
10 S 0.330 0.837 0.601
11 S 0.399 0.670 0.163
12 S 0.601 0.330 0.837
13 S 0.670 0.163 0.399
14 S 0.786 0.786 0.786
15 S 0.837 0.601 0.330

2.
Entry from Alexandria: a relaxed LiThGaPd crystal (PBE).

Output
**Energy of formation from the pure elements**: -52 kJ per mole of atoms
**DOS(E_F)**: 0.1125 states/eV per atom
**V**: 77.56 Å³ per cell
**Mass density**: 8.9 g/cm3

a b c (Å): 4.787 4.787 4.787
angles (deg): 60.00 60.00 60.00
Element x y z (fractional)
1 Li 0.000 0.000 0.000
2 Th 0.250 0.250 0.250
3 Ga 0.750 0.750 0.750
4 Pd 0.500 0.500 0.500

3.
Entry from Alexandria: a relaxed TaAuSe2 crystal (PBE).

Output
**ΔE to the lowest computed polymorph**: 2.87 eV per formula unit
**DOS(E_F)**: 0.8721 states/eV per atom
**V**: 74.94 Å³ per cell
**Mass density**: 11.9 g/cm3

a b c (Å): 5.741 5.741 5.741
angles (deg): 140.81 140.81 56.62
Element x y z (fractional)
1 Ta 0.000 0.000 0.000
2 Au 0.250 0.750 0.500
3 Se 0.500 0.500 0.000
4 Se 0.750 0.250 0.500

4.
Entry from Alexandria: a relaxed La4Bi2Rh crystal (PBE).

Output
**Energy of formation from the pure elements**: -73 kJ per mole of atoms
**ΔE to the lowest computed polymorph**: 0.00 eV per formula unit
**DOS(E_F)**: 0.8705 states/eV per atom
**V**: 463.51 Å³ per cell
**Mass density**: 7.7 g/cm3

a b c (Å): 7.090 6.943 10.047
angles (deg): 90.00 110.41 90.00
Element x y z (fractional)
1 La 0.020 0.008 0.260
2 La 0.020 0.492 0.260
3 La 0.391 0.750 0.085
4 La 0.423 0.750 0.616
5 La 0.577 0.250 0.384
6 La 0.609 0.250 0.915
7 La 0.980 0.508 0.740
8 La 0.980 0.992 0.740
9 Bi 0.226 0.250 0.047
10 Bi 0.231 0.250 0.569
11 Bi 0.769 0.750 0.431
12 Bi 0.774 0.750 0.953
13 Rh 0.337 0.750 0.331
14 Rh 0.663 0.250 0.669

5.
Entry from Alexandria: a relaxed SrMgOsO6 crystal (PBE).

Output
**V**: 128.36 Å³ per cell
**DFT total energy**: -6.72 eV/atom
**Mass density**: 5.2 g/cm3

a b c (Å): 5.279 5.279 5.318
angles (deg): 90.00 90.00 120.00
Element x y z (fractional)
1 Sr 0.000 0.000 0.000
2 Mg 0.333 0.667 0.500
3 Os 0.667 0.333 0.500
4 O 0.391 0.029 0.702
5 O 0.391 0.363 0.298
6 O 0.637 0.029 0.298
7 O 0.637 0.609 0.702
8 O 0.971 0.363 0.702
9 O 0.971 0.609 0.298